[1]
Here is a geometry-optimized KGaAu2 structure from Alexandria via LeMat-Bulk. Energies are from PBE-GGA.

Cell: 6.9922 4.9912 10.7065 Å, 90.00 90.00 90.00°
Last column: nearest neighbours and their distance in Å.
Sites, in units of the cell vectors:
K (0.2431, 0.2500, 0.1687)  8 Au 3.21-3.53, 5 Ga 3.40-3.53
K (0.2569, 0.7500, 0.6687)  8 Au 3.21-3.53, 5 Ga 3.40-3.53
K (0.7431, 0.2500, 0.3313)  8 Au 3.21-3.53, 5 Ga 3.40-3.53
K (0.7569, 0.7500, 0.8313)  8 Au 3.21-3.53, 5 Ga 3.40-3.53
Ga (0.0734, 0.7500, 0.3743)  5 Au 2.59-2.88
Ga (0.4266, 0.2500, 0.8743)  5 Au 2.59-2.88
Ga (0.5734, 0.7500, 0.1257)  5 Au 2.59-2.88
Ga (0.9266, 0.2500, 0.6257)  5 Au 2.59-2.88
Au (0.0570, 0.2500, 0.8618)  2 Ga 2.59-2.69
Au (0.2220, 0.2500, 0.4683)  3 Ga 2.67-2.88, 1 Au 2.97
Au (0.2780, 0.7500, 0.9683)  3 Ga 2.67-2.88, 1 Au 2.97
Au (0.4430, 0.7500, 0.3618)  2 Ga 2.59-2.69
Au (0.5570, 0.2500, 0.6382)  2 Ga 2.59-2.69
Au (0.7220, 0.2500, 0.0317)  3 Ga 2.67-2.88, 1 Au 2.97
Au (0.7780, 0.7500, 0.5317)  3 Ga 2.67-2.88, 1 Au 2.97
Au (0.9430, 0.7500, 0.1382)  2 Ga 2.59-2.69

Values from the calculation:
DFT formation energy   -268 meV per atom
Calculated total energy   -0.108 Ha/atom
Calculated density   8.94 g cm⁻³
DOS at the Fermi energy   0.221 states/eV/atom
Symmetry   Pnma, No. 62

[2]
Here is a geometry-optimized KGa2Au8 structure from Alexandria via LeMat-Bulk. Energies are from PBE-GGA.

Cell: 5.5601 5.5601 9.5010 Å, 90.00 90.00 90.00°
Last column: nearest neighbours and their distance in Å.
Sites, in units of the cell vectors:
K (0.0000, 0.0000, 0.0000)  8 Au 3.54
Ga (0.0000, 0.5000, 0.5000)  8 Au 2.68
Ga (0.5000, 0.0000, 0.5000)  8 Au 2.68
Au (0.2508, 0.2508, 0.3088)  2 Ga 2.68, 4 Au 2.77-2.79
Au (0.2508, 0.2508, 0.6912)  2 Ga 2.68, 4 Au 2.77-2.79
Au (0.2508, 0.7492, 0.3088)  2 Ga 2.68, 4 Au 2.77-2.79
Au (0.2508, 0.7492, 0.6912)  2 Ga 2.68, 4 Au 2.77-2.79
Au (0.7492, 0.2508, 0.3088)  2 Ga 2.68, 4 Au 2.77-2.79
Au (0.7492, 0.2508, 0.6912)  2 Ga 2.68, 4 Au 2.77-2.79
Au (0.7492, 0.7492, 0.3088)  2 Ga 2.68, 4 Au 2.77-2.79
Au (0.7492, 0.7492, 0.6912)  2 Ga 2.68, 4 Au 2.77-2.79

Values from the calculation:
DFT formation energy   -68 meV per atom
Calculated total energy   -0.114 Ha/atom
Calculated density   9.92 g cm⁻³
DOS at the Fermi energy   0.316 states/eV/atom
Symmetry   P4/mmm, No. 123

[3]
Here is a geometry-optimized KGa5Au6 structure from Alexandria via LeMat-Bulk. Energies are from PBE-GGA.

Cell: 6.0625 6.7525 7.0851 Å, 64.34 87.11 72.02°
Last column: nearest neighbours and their distance in Å.
Sites, in units of the cell vectors:
K (0.0000, 0.0000, 0.0000)  8 Au 3.33-3.49, 4 Ga 3.55-3.69
Ga (0.0000, 0.5000, 0.5000)  4 Au 2.59-2.74
Ga (0.2520, 0.9401, 0.5562)  5 Au 2.70-2.75, 1 Ga 2.96
Ga (0.3830, 0.3420, 0.0139)  6 Au 2.59-2.88, 1 Ga 2.84
Ga (0.6170, 0.6580, 0.9861)  6 Au 2.59-2.88, 1 Ga 2.84
Ga (0.7480, 0.0599, 0.4438)  5 Au 2.70-2.75, 1 Ga 2.96
Au (0.0081, 0.3377, 0.2281)  5 Ga 2.59-2.73
Au (0.4163, 0.4787, 0.3267)  4 Ga 2.62-2.78, 2 Au 2.86-2.93
Au (0.4713, 0.1020, 0.7526)  4 Ga 2.59-2.88
Au (0.5287, 0.8980, 0.2474)  4 Ga 2.59-2.88
Au (0.5837, 0.5213, 0.6733)  4 Ga 2.62-2.78, 2 Au 2.86-2.93
Au (0.9919, 0.6623, 0.7719)  5 Ga 2.59-2.73

Values from the calculation:
DFT formation energy   -220 meV per atom
Calculated total energy   -0.118 Ha/atom
Calculated density   10.53 g cm⁻³
DOS at the Fermi energy   0.362 states/eV/atom
Symmetry   P-1, No. 2

[4]
Here is a geometry-optimized K5Ga3Au3 structure from Alexandria via LeMat-Bulk. Energies are from PBE-GGA.

Cell: 10.6402 10.6402 4.7708 Å, 90.00 90.00 120.00°
Last column: nearest neighbours and their distance in Å.
Sites, in units of the cell vectors:
K (0.0000, 0.7577, 0.0000)  2 Ga 3.47
K (0.2423, 0.2423, 0.0000)  2 Ga 3.47
K (0.3333, 0.6667, 0.0000)  3 Ga 3.37
K (0.6667, 0.3333, 0.0000)  3 Ga 3.37
K (0.7577, 0.0000, 0.0000)  2 Ga 3.47
Ga (0.0000, 0.3704, 0.0000)  2 Au 2.43
Ga (0.3704, 0.0000, 0.0000)  2 Au 2.43
Ga (0.6296, 0.6296, 0.0000)  2 Au 2.43
Au (0.0000, 0.3284, 0.5000)  2 Ga 2.43
Au (0.3284, 0.0000, 0.5000)  2 Ga 2.43
Au (0.6716, 0.6716, 0.5000)  2 Ga 2.43

Values from the calculation:
DFT formation energy   -71 meV per atom
Calculated total energy   -0.084 Ha/atom
Calculated density   3.53 g cm⁻³
DOS at the Fermi energy   0.546 states/eV/atom
Symmetry   P-62m, No. 189

What spin magnetization values result from the calculations? In sequence: 0.00, 0.00, 0.00, 0.00 μB per formula unit.